Computed, not measured: a relaxed ZrNiNO2 crystal at the PBE+U level of DFT.

Geometry as extended XYZ:
```
5
Lattice="3.648 0.000 0.000 0.000 3.648 0.000 0.000 0.000 3.790" Properties=species:S:1:pos:R:3 pbc="T T T"
Zr 0.000 0.000 0.000
Ni 1.824 1.824 1.895
N 1.824 1.824 0.000
O 0.000 1.824 1.895
O 1.824 0.000 1.895
```

Properties
* E_tot: -6.72 eV/atom